! PBE Pm3Cu8Ni3, optimized geometry; values from VASP
! * space-group type: Immm, No. 71
! * DFT formation energy: -0.1932 eV/atom
! * E: -67.1 eV per cell
&SYSTEM
  ibrav = 0, nat = 14, ntyp = 3
/
ATOMIC_SPECIES
Pm 145.00 Pm.upf
Cu 63.55 Cu.upf
Ni 58.69 Ni.upf
CELL_PARAMETERS angstrom
-1.9452 -0.6432 -3.6060
5.4355 -2.8410 -4.8103
-0.8317 -7.7300 -0.5575
ATOMIC_POSITIONS crystal
Pm 0.5000 0.5000 0.5000
Pm 0.8142 0.1858 0.1858
Pm 0.1858 0.8142 0.8142
Cu 0.6160 0.1065 0.6616
Cu 0.3840 0.8935 0.3384
Cu 0.6160 0.6616 0.1065
Cu 0.3840 0.3384 0.8935
Cu 0.8278 0.8180 0.5265
Cu 0.1722 0.1820 0.4735
Cu 0.8278 0.5265 0.8180
Cu 0.1722 0.4735 0.1820
Ni 0.5000 0.0000 0.0000
Ni 0.0000 0.8038 0.1962
Ni 0.0000 0.1962 0.8038